No. 1
DFT (PBEsol) results for a geometry-optimized HoEr structure.

The structure in POSCAR format:
```
HoEr
1.0
3.511 0.000 0.000
-1.755 3.040 0.000
0.000 0.000 5.469
Ho Er
1 1
Cartesian
0.000 0.000 0.000
1.755 1.013 2.734
```

Properties
For the formation enthalpy at 0 K, the calculation gives 0.01 eV per atom. Its total energy is -4.93 eV per atom. Its density of states at the Fermi level is 3.35 states/eV/cell.

***

No. 2
DFT (PBEsol) results for a geometry-optimized SrYS3 structure.

The structure in POSCAR format:
```
SrYS3
1.0
-4.513 0.213 -2.537
2.535 -0.104 -4.518
-0.236 -5.176 -0.014
S Y Sr
3 1 1
Cartesian
-2.257 0.106 -1.268
1.267 -0.052 -2.259
-0.118 -2.588 -0.007
-1.107 -2.534 -3.534
0.000 0.000 0.000
```

Properties
For the uncorrected formation energy, the calculation gives -0.486 eV/atom. Its total energy is -4.85 eV per atom. Its density of states at the Fermi level is 4.76 states/eV/cell.

***

No. 3
DFT (PBEsol) results for a geometry-optimized MgTiBiO5 structure.

The structure in POSCAR format:
```
MgTiBiO5
1.0
-5.108 1.445 -0.177
1.598 -3.903 -7.001
-2.786 -9.294 4.546
O Ti Mg Bi
20 4 4 4
Cartesian
-4.897 -11.769 -2.694
-1.399 0.017 0.061
-1.042 -4.889 1.009
-2.633 -2.382 -1.479
-1.621 -2.196 -4.498
-6.650 -10.090 -0.605
-5.267 -7.533 -0.230
-2.034 -10.606 -3.447
0.353 -1.663 -2.028
-4.352 -5.208 -1.573
-3.757 -5.064 1.128
-1.029 -4.220 -2.403
-4.263 -1.147 0.814
-2.540 -6.689 -3.760
0.431 -6.020 -4.420
-1.944 -6.545 -1.059
-4.675 -9.557 1.866
-3.664 -9.370 -1.153
-5.255 -6.864 -3.642
-6.728 -5.733 1.788
-5.107 -9.338 0.041
-1.190 -2.415 -2.673
-2.619 -5.665 2.435
-3.678 -6.088 -5.067
-5.558 -5.534 0.187
-0.739 -6.219 -2.820
-3.201 -0.576 -0.860
-3.095 -11.177 -1.772
-3.776 -7.310 -1.971
-3.470 -2.984 -5.565
-2.827 -8.769 2.933
-2.520 -4.443 -0.661
```

Properties
For the uncorrected formation energy, the calculation gives -2.154 eV/atom. Its total energy is -7.22 eV per atom. Its density of states at the Fermi level is 7.81 states/eV/cell.

***

No. 4
DFT (PBEsol) results for a geometry-optimized CdPt2Pb structure.

The structure in POSCAR format:
```
CdPt2Pb
1.0
-2.385 0.954 -2.503
1.553 -3.245 -2.715
-2.987 -2.889 1.745
Pb Cd Pt
1 1 2
Cartesian
-1.192 0.477 -1.252
-1.910 -2.590 -1.737
0.776 -1.622 -1.358
-1.493 -1.445 0.872
```

Properties
For the formation enthalpy at 0 K, the calculation gives -0.04 eV per atom. For the excess energy over the best structure of this formula in the dataset, the calculation gives 83 meV per atom. Its total energy is -4.82 eV per atom. Its density of states at the Fermi level is 2.15 states/eV/cell.

***

No. 5
DFT (PBEsol) results for a geometry-optimized LiCdS2 structure.

The structure in POSCAR format:
```
LiCdS2
1.0
5.644 0.000 0.000
0.000 5.644 0.000
-2.822 -2.822 5.553
Cd Li S
2 2 4
Cartesian
0.000 2.822 2.777
0.000 0.000 0.000
2.822 2.822 0.000
2.822 0.000 2.777
-1.411 -1.322 4.165
1.500 4.233 1.388
1.411 1.322 4.165
4.144 1.411 1.388
```

Properties
For the uncorrected formation energy, the calculation gives -0.501 eV/atom. Its total energy is -3.48 eV per atom. Its density of states at the Fermi level is 8.20 states/eV/cell.

***

No. 6
DFT (PBEsol) results for a geometry-optimized SiRh3 structure.

The structure in POSCAR format:
```
SiRh3
1.0
-2.254 1.033 -1.112
-2.550 -2.229 3.099
2.646 3.916 1.594
Rh Si
3 1
Cartesian
0.077 1.791 1.506
-1.415 0.264 -0.206
-2.351 0.828 2.215
-1.721 -1.504 2.092
```

Properties
For the uncorrected formation energy, the calculation gives -0.427 eV/atom. Its total energy is -7.97 eV per atom. Its density of states at the Fermi level is 4.36 states/eV/cell.

***

No. 7
DFT (PBEsol) results for a geometry-optimized MgPBr2 structure.

The structure in POSCAR format:
```
MgPBr2
1.0
3.643 0.035 0.000
-0.037 3.643 0.000
0.000 0.000 7.979
Mg Br P
1 2 1
Cartesian
0.000 0.000 2.655
1.803 1.839 5.623
0.000 0.000 0.264
1.803 1.839 3.426
```

Properties
For the uncorrected formation energy, the calculation gives -0.400 eV/atom. For the excess energy over the best structure of this formula in the dataset, the calculation gives 0 meV per atom. Its total energy is -3.21 eV per atom. Its density of states at the Fermi level is 2.11 states/eV/cell.

***

No. 8
DFT (PBEsol) results for a geometry-optimized MnTl2I2 structure.

The structure in POSCAR format:
```
MnTl2I2
1.0
5.714 0.000 0.000
0.000 5.714 0.000
-2.857 -2.857 6.339
Tl I Mn
2 2 1
Cartesian
0.000 0.000 4.720
2.857 2.857 1.619
0.000 2.857 3.169
2.857 0.000 3.169
0.000 0.000 0.000
```

Properties
For the uncorrected formation energy, the calculation gives 0.436 eV/atom. Its total energy is -3.28 eV per atom. Its density of states at the Fermi level is 2.11 states/eV/cell.